# AcEr2In PBE-GGA optimized geometry
data_AcEr2In
_chemical_formula_sum 'Ac1 Er2 In1'
_space_group_name_H-M_alt 'P 4/m m m'
_space_group_IT_number 123
_space_group_name_Hall '-P 4 2'
_cell_length_a 3.691
_cell_length_b 3.691
_cell_length_c 9.286
_cell_angle_alpha 90.00
_cell_angle_beta 90.00
_cell_angle_gamma 90.00
loop_
_atom_site_label
_atom_site_type_symbol
_atom_site_fract_x
_atom_site_fract_y
_atom_site_fract_z
_atom_site_occupancy
Ac1 Ac 0.000 0.000 0.000 1
Er1 Er 0.500 0.500 0.289 1
In1 In 0.000 0.000 0.500 1
# D(E_F) (states/eV/atom): 0.995
# Final energy (eV for the cell shown): -16.8
# Size of the total moment (μB/cell): 0.0
# Excess energy over the best structure of this formula in the dataset (meV per atom): 0
# ΔE_f (eV per formula unit): -0.80
# ρ (g/cm3): 8.88